1.
## Tm2Th4Sc3 (PBE)

Data for a relaxed structure of Tm2Th4Sc3.

abc: 5.9540 9.6776 9.6776
angles: 72.35 83.76 83.76
Fractional positions:
Sc 0.2500 0.3873 0.6127
Th 0.9816 0.1878 0.9216
Th 0.8093 0.2567 0.5209
Th 0.0184 0.8122 0.0784
Th 0.1907 0.7433 0.4791
Tm 0.3461 0.1440 0.4120
Sc 0.5793 0.7202 0.9488
Th 0.5184 0.0784 0.8122
Sc 0.0793 0.9488 0.7202
Th 0.6907 0.4791 0.7433
Sc 0.9207 0.0512 0.2798
Sc 0.7500 0.6127 0.3873
Th 0.4816 0.9216 0.1878
Tm 0.8461 0.4120 0.1440
Th 0.3093 0.5209 0.2567
Tm 0.1539 0.5880 0.8560
Tm 0.6539 0.8560 0.5880
Sc 0.4207 0.2798 0.0512

Values from the calculation:
D(E_F) ... 28.7 states/eV per cell
ΔE_f ... 0.123 eV per atom
Electronic total energy ... -6.279 eV per atom
Magnetization ... 0.00 Bohr magnetons per cell



2.
## Tb5Er2Tl (PBE)

Data for a relaxed structure of Tb5Er2Tl.

abc: 7.0489 7.0489 6.9921
angles: 120.27 120.27 89.99
Fractional positions:
Tb 0.7219 0.7219 0.9439
Tl 0.2222 0.2222 0.4444
Tb 0.2221 0.7220 0.9440
Tb 0.7222 0.2222 0.9444
Er 0.2221 0.7224 0.4443
Tb 0.7221 0.7221 0.4442
Er 0.7222 0.2220 0.4443
Tb 0.2222 0.2222 0.9445

Values from the calculation:
D(E_F) ... 10.7 states/eV per cell
ΔE_f ... -0.033 eV per atom
Electronic total energy ... -4.363 eV per atom
Magnetization ... 0.00 Bohr magnetons per cell



3.
## NaCaRu2 (PBE)

Data for a relaxed structure of NaCaRu2.

abc: 4.3858 8.5698 5.1358
angles: 90.00 90.00 90.00
Fractional positions:
Ru 0.0000 0.5204 0.4672
Ru 0.0000 0.4796 0.9672
Ca 0.5000 0.7698 0.2458
Na 0.0000 0.8361 0.7493
Ca 0.5000 0.2302 0.7458
Na 0.0000 0.1639 0.2493
Ru 0.5000 0.4503 0.2586
Ru 0.5000 0.5497 0.7586

Values from the calculation:
D(E_F) ... 5.7 states/eV per cell
ΔE_f ... 0.251 eV per atom
Electronic total energy ... -5.217 eV per atom
Magnetization ... 0.00 Bohr magnetons per cell